Entry 1:
Computed, not measured: a relaxed Sr2ScTe crystal at the PBE-GGA level of DFT.

It has space group Cmmm (No. 65), with a = 7.126 Å, b = 9.555 Å, c = 4.065 Å, α = 90.00°, β = 90.00° and γ = 90.00°. The inequivalent atoms are Sr at (0.250, 0.250, 0.000), Sc at (0.000, 0.000, 0.500) and Te at (0.000, 0.500, 0.500).

The size of the total moment is 0.01 Bohr magnetons per cell. Its total DFT energy (no corrections) is -3.548 eV per atom. The calculation puts the uncorrected formation energy at -0.3390 eV/atom.

Entry 2:
Computed, not measured: a relaxed Li4NdIn2Ag crystal at the PBE-GGA level of DFT.

It has space group R-3m (No. 166, hexagonal axes), with a = 4.8829 Å, b = 4.8829 Å, c = 23.6930 Å, α = 90.00°, β = 90.00° and γ = 120.00°. The inequivalent atoms are Li at (0.0000, 0.0000, 0.1078), Li at (0.0000, 0.0000, 0.3634), Nd at (0.0000, 0.0000, 0.5000), In at (0.0000, 0.0000, 0.2426) and Ag at (0.0000, 0.0000, 0.0000).

The size of the total moment is 0.00 Bohr magnetons per cell. Its total DFT energy (no corrections) is -2.817 eV per atom. As for the formation energy: -223 meV/atom.

Entry 3:
Computed, not measured: a relaxed Sc2HPtRh6 crystal at the PBE-GGA level of DFT.

It has space group C2/m (No. 12), with a = 8.767 Å, b = 5.440 Å, c = 6.883 Å, α = 90.00°, β = 112.74° and γ = 90.00°. The inequivalent atoms are Sc at (0.237, 0.000, 0.157), H at (0.000, 0.000, 0.500), Pt at (0.000, 0.500, 0.000), Rh at (0.088, 0.260, 0.367) and Rh at (0.193, 0.000, 0.741).

The size of the total moment is 0.00 Bohr magnetons per cell. Its total DFT energy (no corrections) is -7.011 eV per atom.

Entry 4:
Computed, not measured: a relaxed Ce5Bi5Ir crystal at the PBE-GGA level of DFT.

It has space group C2/m (No. 12), with a = 14.147 Å, b = 6.326 Å, c = 8.800 Å, α = 90.00°, β = 109.95° and γ = 90.00°. The inequivalent atoms are Ce at (0.000, 0.000, 0.000), Ce at (0.149, 0.500, 0.855), Ce at (0.151, 0.500, 0.303), Bi at (0.000, 0.500, 0.500), Bi at (0.155, 0.000, 0.807), Bi at (0.185, 0.000, 0.336) and Ir at (0.000, 0.500, 0.000).

The size of the total moment is 3.88 Bohr magnetons per cell. Its total DFT energy (no corrections) is -5.795 eV per atom. As for the formation energy: -528 meV/atom.

Entry 5:
Computed, not measured: a relaxed LiLa2Br crystal at the PBE-GGA level of DFT.

It has space group Fm-3m (No. 225), with a = 7.690 Å, b = 7.690 Å, c = 7.690 Å, α = 90.00°, β = 90.00° and γ = 90.00°. The inequivalent atoms are Li at (0.000, 0.000, 0.000), La at (0.250, 0.250, 0.250) and Br at (0.000, 0.000, 0.500).

The size of the total moment is 0.00 Bohr magnetons per cell. Its total DFT energy (no corrections) is -3.686 eV per atom. The calculation puts the uncorrected formation energy at -0.3255 eV/atom. Its excess energy over the best structure of this formula in the dataset is 225 meV per atom.

Entry 6:
Computed, not measured: a relaxed Hf3ReSb crystal at the PBE-GGA level of DFT.

It has space group Pm-3m (No. 221), with a = 5.035 Å, b = 5.035 Å, c = 5.035 Å, α = 90.00°, β = 90.00° and γ = 90.00°. The inequivalent atoms are Hf at (0.000, 0.000, 0.500), Re at (0.000, 0.000, 0.000) and Sb at (0.500, 0.500, 0.500).

The size of the total moment is 0.00 Bohr magnetons per cell. Its total DFT energy (no corrections) is -8.853 eV per atom. The calculation puts the uncorrected formation energy at 0.4332 eV/atom. Its excess energy over the best structure of this formula in the dataset is 0 meV per atom.

Entry 7:
Computed, not measured: a relaxed TlRe2Mo crystal at the PBE-GGA level of DFT.

It has space group P4/mmm (No. 123), with a = 2.915 Å, b = 2.915 Å, c = 8.081 Å, α = 90.00°, β = 90.00° and γ = 90.00°. The inequivalent atoms are Tl at (0.000, 0.000, 0.000), Re at (0.500, 0.500, 0.280) and Mo at (0.000, 0.000, 0.500).

The size of the total moment is 0.00 Bohr magnetons per cell. Its total DFT energy (no corrections) is -8.867 eV per atom. As for the formation energy: 656 meV/atom. Its excess energy over the best structure of this formula in the dataset is 175 meV per atom.

Entry 8:
Computed, not measured: a relaxed VB4Mo crystal at the PBE-GGA level of DFT.

It has space group F-43m (No. 216), with a = 5.849 Å, b = 5.849 Å, c = 5.849 Å, α = 90.00°, β = 90.00° and γ = 90.00°. The inequivalent atoms are V at (0.000, 0.000, 0.000), B at (0.136, 0.136, 0.636) and Mo at (0.250, 0.250, 0.250).

The size of the total moment is 0.00 Bohr magnetons per cell. Its total DFT energy (no corrections) is -7.672 eV per atom. As for the formation energy: 104 meV/atom. Its excess energy over the best structure of this formula in the dataset is 609 meV per atom.

Entry 9:
Computed, not measured: a relaxed Cd16Pt7Au6 crystal at the PBE-GGA level of DFT.

It has space group Fm-3m (No. 225), with a = 13.324 Å, b = 13.324 Å, c = 13.324 Å, α = 90.00°, β = 90.00° and γ = 90.00°. The inequivalent atoms are Cd at (0.120, 0.120, 0.120), Cd at (0.153, 0.153, 0.347), Pt at (0.000, 0.000, 0.000), Pt at (0.000, 0.250, 0.250) and Au at (0.000, 0.000, 0.336).

The size of the total moment is 0.00 Bohr magnetons per cell. Its total DFT energy (no corrections) is -2.760 eV per atom. As for the formation energy: -119 meV/atom.

Entry 10:
Computed, not measured: a relaxed YBe3P crystal at the PBE-GGA level of DFT.

It has space group Pm-3m (No. 221), with a = 4.223 Å, b = 4.223 Å, c = 4.223 Å, α = 90.00°, β = 90.00° and γ = 90.00°. The inequivalent atoms are Y at (0.000, 0.000, 0.000), Be at (0.000, 0.500, 0.500) and P at (0.500, 0.500, 0.500).

The size of the total moment is 0.00 Bohr magnetons per cell. Its total DFT energy (no corrections) is -4.252 eV per atom. As for the formation energy: 359 meV/atom.

Entry 11:
Computed, not measured: a relaxed In2CuBr6 crystal at the PBE-GGA level of DFT.

It has space group C2/c (No. 15), with a = 15.376 Å, b = 15.100 Å, c = 8.793 Å, α = 90.00°, β = 123.15° and γ = 90.00°. The inequivalent atoms are In at (0.203, 0.090, 0.313), Cu at (0.000, 0.318, 0.250), Br at (0.096, 0.413, 0.522), Br at (0.129, 0.251, 0.205) and Br at (0.139, 0.011, 0.512).

The size of the total moment is 0.00 Bohr magnetons per cell. Its total DFT energy (no corrections) is -2.776 eV per atom. The calculation puts the uncorrected formation energy at -0.5974 eV/atom.

Entry 12:
Computed, not measured: a relaxed Hf2Sb2S crystal at the PBE-GGA level of DFT.

It has space group Pnma (No. 62), with a = 7.476 Å, b = 5.829 Å, c = 11.609 Å, α = 90.00°, β = 90.00° and γ = 90.00°. The inequivalent atoms are Hf at (0.069, 0.250, 0.244), Hf at (0.143, 0.250, 0.932), Sb at (0.060, 0.750, 0.274), Sb at (0.196, 0.750, 0.948) and S at (0.171, 0.750, 0.608).

The size of the total moment is 0.00 Bohr magnetons per cell. Its total DFT energy (no corrections) is -7.111 eV per atom. The calculation puts the uncorrected formation energy at -0.6548 eV/atom. Its excess energy over the best structure of this formula in the dataset is 0 meV per atom.

Entry 13:
Computed, not measured: a relaxed PaTl5O5 crystal at the PBE-GGA level of DFT.

It has space group C2/m (No. 12), with a = 13.749 Å, b = 4.449 Å, c = 8.739 Å, α = 90.00°, β = 113.37° and γ = 90.00°. The inequivalent atoms are Pa at (0.000, 0.000, 0.000), Tl at (0.000, 0.000, 0.500), Tl at (0.162, 0.500, 0.827), Tl at (0.181, 0.500, 0.317), O at (0.000, 0.500, 0.000), O at (0.081, 0.000, 0.266) and O at (0.156, 0.000, 0.978).

The size of the total moment is 0.00 Bohr magnetons per cell. Its total DFT energy (no corrections) is -5.725 eV per atom. The calculation puts the uncorrected formation energy at -1.5326 eV/atom.

Entry 14:
Computed, not measured: a relaxed Ta2CuTe crystal at the PBE-GGA level of DFT.

It has space group P4/mmm (No. 123), with a = 3.280 Å, b = 3.280 Å, c = 6.599 Å, α = 90.00°, β = 90.00° and γ = 90.00°. The inequivalent atoms are Ta at (0.000, 0.000, 0.229), Cu at (0.500, 0.500, 0.000) and Te at (0.500, 0.500, 0.500).

The size of the total moment is 0.00 Bohr magnetons per cell. Its total DFT energy (no corrections) is -7.412 eV per atom. The calculation puts the uncorrected formation energy at 0.3240 eV/atom.

Entry 15:
Computed, not measured: a relaxed LiY2GaB crystal at the PBE-GGA level of DFT.

It has space group P4/mmm (No. 123), with a = 5.151 Å, b = 5.151 Å, c = 3.819 Å, α = 90.00°, β = 90.00° and γ = 90.00°. The inequivalent atoms are Li at (0.000, 0.000, 0.000), Y at (0.000, 0.500, 0.000), Ga at (0.500, 0.500, 0.500) and B at (0.000, 0.000, 0.500).

The size of the total moment is 0.00 Bohr magnetons per cell. Its total DFT energy (no corrections) is -4.453 eV per atom. As for the formation energy: 456 meV/atom.

Entry 16:
Computed, not measured: a relaxed AlOsW2 crystal at the PBE-GGA level of DFT.

It has space group Cmm2 (No. 35), with a = 3.114 Å, b = 4.549 Å, c = 8.683 Å, α = 90.00°, β = 90.00° and γ = 90.00°. The inequivalent atoms are Al at (0.000, 0.000, 0.000), Os at (0.000, 0.500, 0.765), W at (0.000, 0.000, 0.513) and W at (0.000, 0.500, 0.254).

The size of the total moment is 0.00 Bohr magnetons per cell. Its total DFT energy (no corrections) is -10.134 eV per atom. As for the formation energy: 86 meV/atom.

Entry 17:
Computed, not measured: a relaxed KCd4Ga2 crystal at the PBE-GGA level of DFT.

It has space group Cmmm (No. 65), with a = 4.659 Å, b = 15.793 Å, c = 4.677 Å, α = 90.00°, β = 90.00° and γ = 90.00°. The inequivalent atoms are K at (0.000, 0.000, 0.000), Cd at (0.000, 0.181, 0.500), Cd at (0.000, 0.317, 0.000) and Ga at (0.000, 0.417, 0.500).

The size of the total moment is 0.00 Bohr magnetons per cell. Its total DFT energy (no corrections) is -1.616 eV per atom. As for the formation energy: -71 meV/atom.

Entry 18:
Computed, not measured: a relaxed LiBeW2 crystal at the PBE-GGA level of DFT.

It has space group I-42d (No. 122), with a = 3.649 Å, b = 3.649 Å, c = 18.423 Å, α = 90.00°, β = 90.00° and γ = 90.00°. The inequivalent atoms are Li at (0.000, 0.000, 0.000), Be at (0.000, 0.000, 0.500) and W at (0.242, 0.250, 0.625).

The size of the total moment is 0.00 Bohr magnetons per cell. Its total DFT energy (no corrections) is -6.948 eV per atom. As for the formation energy: 938 meV/atom.

Entry 19:
Computed, not measured: a relaxed HfCuSb3 crystal at the PBE-GGA level of DFT.

It has space group Pm-3m (No. 221), with a = 5.023 Å, b = 5.023 Å, c = 5.023 Å, α = 90.00°, β = 90.00° and γ = 90.00°. The inequivalent atoms are Hf at (0.000, 0.000, 0.000), Cu at (0.500, 0.500, 0.500) and Sb at (0.000, 0.500, 0.500).

The size of the total moment is 0.00 Bohr magnetons per cell. Its total DFT energy (no corrections) is -4.720 eV per atom. The calculation puts the uncorrected formation energy at 0.5632 eV/atom. Its excess energy over the best structure of this formula in the dataset is 0 meV per atom.

Entry 20:
Computed, not measured: a relaxed LiYS2N crystal at the PBE-GGA level of DFT.

It has space group P4/mmm (No. 123), with a = 5.297 Å, b = 5.297 Å, c = 4.626 Å, α = 90.00°, β = 90.00° and γ = 90.00°. The inequivalent atoms are Li at (0.000, 0.000, 0.000), Y at (0.500, 0.500, 0.500), S at (0.000, 0.500, 0.500) and N at (0.500, 0.500, 0.000).

The size of the total moment is 2.52 Bohr magnetons per cell. Its total DFT energy (no corrections) is -5.190 eV per atom. The calculation puts the uncorrected formation energy at -0.1981 eV/atom. Its excess energy over the best structure of this formula in the dataset is 12 meV per atom.

Entry 21:
Computed, not measured: a relaxed LiMgRu crystal at the PBE-GGA level of DFT.

It has space group Imm2 (No. 44), with a = 2.588 Å, b = 4.300 Å, c = 8.158 Å, α = 90.00°, β = 90.00° and γ = 90.00°. The inequivalent atoms are Li at (0.000, 0.000, 0.000), Mg at (0.000, 0.000, 0.327) and Ru at (0.000, 0.000, 0.666).

The size of the total moment is 0.00 Bohr magnetons per cell. Its total DFT energy (no corrections) is -4.157 eV per atom. As for the formation energy: 105 meV/atom. Its excess energy over the best structure of this formula in the dataset is 0 meV per atom.

Entry 22:
Computed, not measured: a relaxed AlCu2Mo crystal at the PBE-GGA level of DFT.

It has space group C2/m (No. 12), with a = 5.233 Å, b = 8.814 Å, c = 2.585 Å, α = 90.00°, β = 111.21° and γ = 90.00°. The inequivalent atoms are Al at (0.000, 0.000, 0.000), Cu at (0.250, 0.250, 0.500) and Mo at (0.000, 0.500, 0.000).

The size of the total moment is 0.00 Bohr magnetons per cell. Its total DFT energy (no corrections) is -5.649 eV per atom. As for the formation energy: 43 meV/atom.

Entry 23:
Computed, not measured: a relaxed EuMg4Pa crystal at the PBE-GGA level of DFT.

It has space group F-43m (No. 216), with a = 8.557 Å, b = 8.557 Å, c = 8.557 Å, α = 90.00°, β = 90.00° and γ = 90.00°. The inequivalent atoms are Eu at (0.000, 0.000, 0.000), Mg at (0.124, 0.124, 0.376) and Pa at (0.250, 0.250, 0.750).

The size of the total moment is 34.25 Bohr magnetons per cell. Its total DFT energy (no corrections) is -4.172 eV per atom. As for the formation energy: 186 meV/atom.

Entry 24:
Computed, not measured: a relaxed Li2Tl3RhO6 crystal at the PBE-GGA level of DFT.

It has space group P-3m1 (No. 164), with a = 5.8343 Å, b = 5.8343 Å, c = 6.0505 Å, α = 90.00°, β = 90.00° and γ = 120.00°. The inequivalent atoms are Li at (0.3333, 0.6667, 0.2185), Tl at (0.0000, 0.0000, 0.0000), Tl at (0.3333, 0.6667, 0.6793), Rh at (0.0000, 0.0000, 0.5000) and O at (0.1542, 0.3085, 0.2967).

The size of the total moment is 0.00 Bohr magnetons per cell. Its total DFT energy (no corrections) is -4.889 eV per atom. The calculation puts the uncorrected formation energy at -0.8867 eV/atom.